# 1
Compound: Sr2Li3Cd2
Source: the Alexandria database
Functional: PBE
Structure: optimized geometry Values from VASP.

* DFT formation energy: -0.192 eV per atom
* crystal system: monoclinic

The structure in Quantum ESPRESSO input format:
```
&SYSTEM
  ibrav = 0, nat = 7, ntyp = 3
/
ATOMIC_SPECIES
Sr 87.62 Sr.upf
Li 6.94 Li.upf
Cd 112.41 Cd.upf
ATOMIC_POSITIONS crystal
Sr 0.865 0.729 0.230
Li 0.500 0.000 0.000
Sr 0.135 0.271 0.770
Li 0.348 0.695 0.565
Cd 0.862 0.723 0.797
Cd 0.138 0.277 0.203
Li 0.652 0.305 0.435
CELL_PARAMETERS angstrom
4.522 0.000 0.000
-2.261 6.021 -0.286
0.000 -3.117 7.605
```


# 2
Compound: Sr2Li2Cd
Source: the Alexandria database
Functional: PBE
Structure: optimized geometry Values from VASP.

* DFT formation energy: -0.136 eV per atom
* crystal system: monoclinic

The structure in Quantum ESPRESSO input format:
```
&SYSTEM
  ibrav = 0, nat = 10, ntyp = 3
/
ATOMIC_SPECIES
Cd 112.41 Cd.upf
Li 6.94 Li.upf
Sr 87.62 Sr.upf
ATOMIC_POSITIONS crystal
Cd 0.213 0.000 0.750
Li 0.033 0.835 0.047
Li 0.802 0.835 0.547
Cd 0.787 0.000 0.250
Sr 0.757 0.340 0.654
Sr 0.243 0.660 0.346
Sr 0.583 0.340 0.154
Li 0.967 0.165 0.953
Li 0.198 0.165 0.453
Sr 0.417 0.660 0.846
CELL_PARAMETERS angstrom
7.401 0.000 0.000
-3.701 5.668 -0.001
0.000 -2.554 7.771
```


# 3
Compound: Sr3Li3Cd2
Source: the Alexandria database
Functional: PBE
Structure: optimized geometry Values from VASP.

* DFT formation energy: -0.172 eV per atom
* crystal system: orthorhombic

The structure in Quantum ESPRESSO input format:
```
&SYSTEM
  ibrav = 0, nat = 32, ntyp = 3
/
ATOMIC_SPECIES
Li 6.94 Li.upf
Sr 87.62 Sr.upf
Cd 112.41 Cd.upf
ATOMIC_POSITIONS crystal
Li 0.108 0.167 0.250
Sr 0.132 0.175 0.750
Sr 0.368 0.675 0.750
Cd 0.625 0.615 0.395
Sr 0.875 0.537 0.893
Cd 0.375 0.385 0.895
Cd 0.625 0.615 0.105
Cd 0.875 0.115 0.105
Li 0.899 0.826 0.035
Sr 0.375 0.963 0.107
Li 0.399 0.674 0.535
Cd 0.875 0.115 0.395
Cd 0.375 0.385 0.605
Sr 0.125 0.463 0.393
Cd 0.125 0.885 0.605
Li 0.101 0.174 0.535
Li 0.899 0.826 0.465
Li 0.392 0.667 0.250
Sr 0.125 0.463 0.107
Sr 0.625 0.037 0.893
Sr 0.632 0.325 0.250
Sr 0.868 0.825 0.250
Cd 0.125 0.885 0.895
Sr 0.375 0.963 0.393
Li 0.101 0.174 0.965
Li 0.601 0.326 0.465
Sr 0.625 0.037 0.607
Sr 0.875 0.537 0.607
Li 0.892 0.833 0.750
Li 0.399 0.674 0.965
Li 0.601 0.326 0.035
Li 0.608 0.333 0.750
CELL_PARAMETERS angstrom
6.543 0.000 0.000
0.000 9.010 0.000
0.000 0.000 17.341
```